Record 1
VASP calculation (meta-GGA SCAN) on a crystal of CaGe2Au2 relaxed with PBEsol.

Lattice parameters (Å, degrees): 4.0811 4.0811 12.2443 90.00 90.00 90.00
Space group I4/mmm (No. 139)
Inequivalent atoms, fractional coordinates:
1 Ca 0.0000 0.0000 0.0000 x2
2 Ge 0.0000 0.5000 0.2500 x4
3 Au 0.0000 0.0000 0.3908 x4

Calculated values
M_tot = 0.000 Bohr magnetons per cell
E = -37.761 eV/atom
calculated formation energy = -256 kJ/mol of formula units


Record 2
VASP calculation (meta-GGA SCAN) on a crystal of CrCuNi2 relaxed with PBEsol.

Lattice parameters (Å, degrees): 8.1095 2.4297 4.3975 90.00 98.56 90.00
Space group C2/m (No. 12)
Inequivalent atoms, fractional coordinates:
1 Cr 0.0000 0.0000 0.0000 x2
2 Cu 0.0000 0.5000 0.5000 x2
3 Ni 0.2501 0.0000 0.7562 x4

Calculated values
M_tot = 4.876 Bohr magnetons per cell
E = -16.332 eV/atom
calculated formation energy = 58 kJ/mol of formula units


Record 3
VASP calculation (meta-GGA SCAN) on a crystal of LaTiS2Cl relaxed with PBEsol.

Lattice parameters (Å, degrees): 4.7051 4.7051 4.5663 90.00 90.00 90.00
Space group P4/mmm (No. 123)
Inequivalent atoms, fractional coordinates:
1 La 0.0000 0.0000 0.0000 x1
2 Ti 0.5000 0.5000 0.5000 x1
3 S 0.0000 0.5000 0.5000 x2
4 Cl 0.5000 0.5000 0.0000 x1

Calculated values
M_tot = 0.000 Bohr magnetons per cell
E = -18.998 eV/atom
uncorrected formation energy = -1.72 eV/atom


Record 4
VASP calculation (meta-GGA SCAN) on a crystal of ErCd relaxed with PBEsol.

Lattice parameters (Å, degrees): 3.6444 3.6444 3.6444 90.00 90.00 90.00
Space group Pm-3m (No. 221)
Inequivalent atoms, fractional coordinates:
1 Er 0.0000 0.0000 0.0000 x1
2 Cd 0.5000 0.5000 0.5000 x1

Calculated values
M_tot = 0.000 Bohr magnetons per cell
E = -40.807 eV/atom
calculated formation energy = -83 kJ/mol of formula units


Record 5
VASP calculation (meta-GGA SCAN) on a crystal of TePdI2 relaxed with PBEsol.

Lattice parameters (Å, degrees): 6.9377 4.0075 9.2105 90.00 111.27 90.00
Space group P2_1/m (No. 11)
Inequivalent atoms, fractional coordinates:
1 Te 0.1598 0.2500 0.1472 x2
2 Pd 0.2422 0.7500 0.9802 x2
3 I 0.2060 0.7500 0.4173 x2
4 I 0.3532 0.2500 0.8139 x2

Calculated values
M_tot = 0.000 Bohr magnetons per cell
relative energy among the computed polymorphs = 0.000 eV/atom
E = -36.143 eV/atom
uncorrected formation energy = -0.27 eV/atom


Record 6
VASP calculation (meta-GGA SCAN) on a crystal of ZrInTc2 relaxed with PBEsol.

Lattice parameters (Å, degrees): 9.6220 3.3405 4.6920 90.00 113.82 90.00
Space group C2/m (No. 12)
Inequivalent atoms, fractional coordinates:
1 Zr 0.0000 0.0000 0.0000 x2
2 In 0.0000 0.5000 0.5000 x2
3 Tc 0.2423 0.5000 0.2736 x4

Calculated values
M_tot = 0.000 Bohr magnetons per cell
relative energy among the computed polymorphs = 0.212 eV/atom
E = -33.530 eV/atom
calculated formation energy = 8 kJ/mol of formula units


Record 7
VASP calculation (meta-GGA SCAN) on a crystal of CuHOF relaxed with PBEsol.

Lattice parameters (Å, degrees): 5.0046 6.2883 5.2887 90.00 114.18 90.00
Space group P2_1/c (No. 14)
Inequivalent atoms, fractional coordinates:
1 Cu 0.0094 0.1203 0.2405 x4
2 H 0.3988 0.6351 0.7561 x4
3 O 0.1741 0.6393 0.6657 x4
4 F 0.2820 0.1123 0.6319 x4

Calculated values
M_tot = 3.847 Bohr magnetons per cell
E = -8.431 eV/atom


Record 8
VASP calculation (meta-GGA SCAN) on a crystal of Sc2ZnNi relaxed with PBEsol.

Lattice parameters (Å, degrees): 3.2937 3.2937 23.1869 90.00 90.00 120.00
Space group R-3m (No. 166, hexagonal axes)
Inequivalent atoms, fractional coordinates:
1 Sc 0.0000 0.0000 0.2405 x6
2 Zn 0.0000 0.0000 0.0000 x3
3 Ni 0.0000 0.0000 0.5000 x3

Calculated values
M_tot = 0.000 Bohr magnetons per cell
E = -14.714 eV/atom
calculated formation energy = -67 kJ/mol of formula units